# In2AuBr

A relaxed In2AuBr crystal (GGA-PBE, the Alexandria database).

Formation energy from raw total energies ... -162.1 meV per atom
Excess energy over the best structure of this formula in the dataset ... 0.73 eV per formula unit

a b c (Å): 4.2893 4.2893 12.1638
angles (deg): 90.00 90.00 90.00
Closest atoms and distances in Å follow each position.
Space group I-4m2 (No. 119)
Inequivalent atoms, fractional coordinates:
In  0.0000  0.0000  0.0000 (multiplicity 2)  4 Br 3.03
In  0.0000  0.5000  0.2500 (multiplicity 2)  4 Au 3.03
Au  0.0000  0.5000  0.7500 (multiplicity 2)  4 In 3.03
Br  0.0000  0.0000  0.5000 (multiplicity 2)  4 In 3.03